[1]
VASP calculation (PBE) on an optimized crystal structure of Ac3Pr2Y5.

Values from the calculation:
- ΔH_f (0 K): 17 kJ/mol of atoms
- VASP energy: -5.243 eV per atom

Unit cell a=11.514 b=16.911 c=9.648 alpha=90.00 beta=126.54 gamma=90.00
Space group C2/c (No. 15)
Symmetry-distinct sites (fractional):
Ac 0.000 0.023 0.250 (multiplicity 4)
Ac 0.246 0.140 0.735 (multiplicity 8)
Pr 0.159 0.132 0.054 (multiplicity 8)
Y 0.000 0.220 0.250 (multiplicity 4)
Y 0.000 0.280 0.750 (multiplicity 4)
Y 0.000 0.474 0.750 (multiplicity 4)
Y 0.139 0.372 0.544 (multiplicity 8)

---

[2]
VASP calculation (PBE) on an optimized crystal structure of AcPr5Y2.

Values from the calculation:
- Energy relative to the lowest polymorph listed for this composition: 118 meV per atom
- ΔH_f (0 K): 13 kJ/mol of atoms
- VASP energy: -4.983 eV per atom

Unit cell a=16.640 b=9.893 c=7.194 alpha=90.00 beta=90.10 gamma=90.00
Space group C2/c (No. 15)
Symmetry-distinct sites (fractional):
Ac 0.250 0.250 0.000 (multiplicity 4)
Pr 0.000 0.000 0.250 (multiplicity 4)
Pr 0.146 0.499 0.251 (multiplicity 8)
Pr 0.171 0.132 0.500 (multiplicity 8)
Y 0.013 0.311 0.000 (multiplicity 8)

---

[3]
VASP calculation (PBE) on an optimized crystal structure of Ac7PrY3.

Values from the calculation:
- ΔH_f (0 K): 14 kJ/mol of atoms
- VASP energy: -4.665 eV per atom

Unit cell a=20.157 b=7.296 c=12.318 alpha=90.00 beta=90.00 gamma=90.00
Space group Cmcm (No. 63)
Symmetry-distinct sites (fractional):
Ac 0.000 0.209 0.250 (multiplicity 4)
Ac 0.091 0.294 0.750 (multiplicity 8)
Ac 0.161 0.254 0.039 (multiplicity 16)
Pr 0.000 0.000 0.000 (multiplicity 4)
Y 0.000 0.500 0.000 (multiplicity 4)
Y 0.241 0.015 0.750 (multiplicity 8)

---

[4]
VASP calculation (PBE) on an optimized crystal structure of Ac2PrY.

Values from the calculation:
- Energy relative to the lowest polymorph listed for this composition: 1 meV per atom
- ΔH_f (0 K): 3 kJ/mol of atoms
- VASP energy: -4.836 eV per atom

Unit cell a=3.870 b=5.266 c=7.698 alpha=90.00 beta=90.00 gamma=90.00
Space group Pmmm (No. 47)
Symmetry-distinct sites (fractional):
Ac 0.000 0.000 0.249 (multiplicity 2)
Pr 0.500 0.500 0.500 (multiplicity 1)
Y 0.500 0.500 0.000 (multiplicity 1)

---

[5]
VASP calculation (PBE) on an optimized crystal structure of AcPrY2.

Values from the calculation:
- Energy relative to the lowest polymorph listed for this composition: 3 meV per atom
- ΔH_f (0 K): 3 kJ/mol of atoms
- VASP energy: -5.420 eV per atom

Unit cell a=7.505 b=10.182 c=3.772 alpha=90.00 beta=90.00 gamma=90.00
Space group Cmmm (No. 65)
Symmetry-distinct sites (fractional):
Ac 0.000 0.000 0.000 (multiplicity 2)
Pr 0.000 0.500 0.000 (multiplicity 2)
Y 0.250 0.250 0.500 (multiplicity 4)

---

[6]
VASP calculation (PBE) on an optimized crystal structure of AcPr2Y8.

Values from the calculation:
- Energy relative to the lowest polymorph listed for this composition: 0 meV per atom
- ΔH_f (0 K): 12 kJ/mol of atoms
- VASP energy: -5.820 eV per atom

Unit cell a=5.584 b=8.315 c=16.442 alpha=90.00 beta=90.00 gamma=90.00
Space group Immm (No. 71)
Symmetry-distinct sites (fractional):
Ac 0.000 0.000 0.000 (multiplicity 2)
Pr 0.000 0.000 0.301 (multiplicity 4)
Y 0.000 0.204 0.500 (multiplicity 4)
Y 0.000 0.294 0.144 (multiplicity 8)
Y 0.000 0.500 0.339 (multiplicity 4)

---

[7]
VASP calculation (PBE) on an optimized crystal structure of AcPr8Y2.

Values from the calculation:
- Energy relative to the lowest polymorph listed for this composition: 0 meV per atom
- ΔH_f (0 K): 11 kJ/mol of atoms
- VASP energy: -4.910 eV per atom

Unit cell a=5.730 b=8.637 c=16.369 alpha=90.00 beta=90.00 gamma=90.00
Space group Immm (No. 71)
Symmetry-distinct sites (fractional):
Ac 0.000 0.000 0.000 (multiplicity 2)
Pr 0.000 0.203 0.500 (multiplicity 4)
Pr 0.000 0.299 0.144 (multiplicity 8)
Pr 0.000 0.500 0.339 (multiplicity 4)
Y 0.000 0.000 0.299 (multiplicity 4)

---

[8]
VASP calculation (PBE) on an optimized crystal structure of AcPr5Y.

Values from the calculation:
- Energy relative to the lowest polymorph listed for this composition: 85 meV per atom
- ΔH_f (0 K): 16 kJ/mol of atoms
- VASP energy: -4.757 eV per atom

Unit cell a=12.423 b=12.582 c=7.119 alpha=90.00 beta=109.27 gamma=90.00
Space group C2/c (No. 15)
Symmetry-distinct sites (fractional):
Ac 0.000 0.000 0.000 (multiplicity 4)
Pr 0.000 0.286 0.250 (multiplicity 4)
Pr 0.193 0.205 0.769 (multiplicity 8)
Pr 0.228 0.452 0.576 (multiplicity 8)
Y 0.000 0.406 0.750 (multiplicity 4)